Entry 1:
Crystalline YCuAg2Pt at its relaxed geometry. Source: Alexandria, functional GGA-PBEsol.

Output
The magnetization is 0.00 Bohr magnetons per cell. The calculation puts the energy at -22.7 eV per cell. The calculation puts the energy of formation at 0.4003 eV/atom.

The structure in POSCAR format:
```
YCuAg2Pt
1.0
4.613 0.000 0.000
0.000 4.960 0.000
0.000 0.000 4.960
Ag Y Pt Cu
2 1 1 1
direct
0.000 0.500 0.000
0.000 0.000 0.500
0.500 0.500 0.500
0.000 0.000 0.000
0.500 0.000 0.000
```

Entry 2:
Crystalline Rb2CuAgTe at its relaxed geometry. Source: Alexandria, functional GGA-PBEsol.

Output
The magnetization is 0.01 Bohr magnetons per cell. The calculation puts the energy at -12.6 eV per cell. The formation energy without anion corrections comes out at 0.1241 eV/atom.

The structure in POSCAR format:
```
Rb2CuAgTe
1.0
-2.726 -3.316 -2.132
4.972 -2.385 -2.648
0.771 -3.718 4.796
Ag Rb Cu Te
1 2 1 1
direct
0.500 0.000 0.000
0.000 0.500 0.000
0.000 0.000 0.500
0.000 0.000 0.000
0.500 0.500 0.500
```

Entry 3:
Crystalline CuRe2Ag at its relaxed geometry. Source: Alexandria, functional GGA-PBEsol.

Output
The magnetization is 0.00 Bohr magnetons per cell. The calculation puts the energy at -32.8 eV per cell. The calculation puts the energy of formation at 0.3760 eV/atom.

The structure in POSCAR format:
```
CuRe2Ag
1.0
-0.512 -2.577 1.294
2.771 -0.803 -0.505
1.871 2.659 6.035
Cu Ag Re
1 1 2
direct
0.500 0.500 0.755
0.000 0.000 0.522
0.500 0.500 0.219
0.000 0.000 0.004
```

Entry 4:
Crystalline CuReAg2 at its relaxed geometry. Source: Alexandria, functional GGA-PBEsol.

Output
The magnetization is 0.00 Bohr magnetons per cell. The calculation puts the energy at -22.9 eV per cell. The calculation puts the energy of formation at 0.3361 eV/atom. The polymorph energy (0 for the lowest one) is 37.0 meV/atom.

The structure in POSCAR format:
```
CuReAg2
1.0
2.673 0.000 0.000
0.000 2.673 0.000
0.000 0.000 8.206
Re Ag Cu
1 2 1
direct
0.500 0.500 0.730
0.000 0.000 0.996
0.500 0.500 0.267
0.000 0.000 0.507
```